## Sc2CoSe (PBE)

Data for a relaxed Sc2CoSe crystal.

Properties
- ΔE_f (raw): -0.173 eV/atom
- E_tot: -5.986 eV/atom
- DOS(E_F): 2.64 states/eV/f.u.
- SG: R-3m, No. 166

Cell: 8.3421 8.3421 8.3421 Å, 23.77 23.77 23.77°
Each line ends with the local moment (μB).
Fractional coordinates of all 4 atoms:
Se  0.5000  0.5000  0.5000  0.00
Sc  0.0937  0.0937  0.0937  -0.06
Sc  0.9063  0.9063  0.9063  -0.06
Co  0.0000  0.0000  0.0000  0.90